# 1
# VH2RhSe

A relaxed structure of VH2RhSe (PBE, Alexandria).

Values from the calculation:
Energy (eV per atom): -5.27
SG: P4/mmm (123)

Unit cell a=3.5231 b=5.0128 c=3.5231 alpha=90.00 beta=90.00 gamma=90.00
Closest atoms and distances in Å follow each position.
Fractional positions:
Rh 0.0000 0.0000 0.0000  4 H 1.76
H 0.5000 0.0000 0.0000  2 Rh 1.76
H 0.0000 0.0000 0.5000  2 Rh 1.76
Se 0.0000 0.5000 0.0000  4 V 2.49, 2 Rh 2.51
V 0.5000 0.5000 0.5000  4 Se 2.49

---

# 2
# SiHRh

A relaxed structure of SiHRh (PBE, Alexandria).

Values from the calculation:
Energy (eV per atom): -5.63
SG: P-1 (2)

Unit cell a=2.7727 b=3.8633 c=10.1530 alpha=102.03 beta=112.88 gamma=90.02
Closest atoms and distances in Å follow each position.
Fractional positions:
Rh 0.6296 0.6918 0.8937  5 Si 2.42-2.43
Rh 0.3704 0.3082 0.1063  5 Si 2.42-2.43
Si 0.0530 0.1630 0.8410  5 Rh 2.42-2.43
Si 0.9470 0.8370 0.1590  5 Rh 2.42-2.43
H 0.9334 0.4814 0.4587  1 H 0.75
H 0.0666 0.5186 0.5413  1 H 0.75

---

Look up the energy of the second one.
-5.63 eV per atom

---

Which value of energy does entry 1 give?
-5.27 eV per atom